Computed, not measured: a geometry-optimized TcIrAu2 structure at the PBE level of DFT.

Cell lengths 9.593, 9.593, 9.593 Å; angles 16.93, 16.93, 16.93 degrees
Fractional positions:
1 Ir 0.494 0.494 0.494
2 Au 0.247 0.247 0.247
3 Au 0.004 0.004 0.004
4 Tc 0.755 0.755 0.755

Calculated values
Total magnetization (μB per atom): 0.000
Space-group type: No. 160
Relative energy among the computed polymorphs (meV/atom): 49